La2Nd3Pd2 | Alexandria | PBE | optimized geometry; D(E_F) = 9.02 states/eV/f.u.; ΔH_f (0 K) = -0.46 eV/atom
1.0
-0.933 -1.095 -3.628
6.455 -1.219 0.807
-5.556 -6.743 3.463
La Nd Pd
2 3 2
Cartesian
2.557 -3.042 -1.839
-2.591 -6.015 2.481
-0.467 -0.547 -1.814
-1.506 -3.903 -0.535
1.472 -5.154 1.176
-0.739 -6.923 0.179
0.705 -2.134 0.462